Entry 1:
DFT (PBE) results for an optimized crystal structure of NdGa5Co2.

It has space group Immm (No. 71), with a = 3.997 Å, b = 6.877 Å, c = 9.839 Å, α = 90.00°, β = 90.00° and γ = 90.00°. The asymmetric unit holds Nd at (0.000, 0.000, 0.000), Ga at (0.000, 0.196, 0.343), Ga at (0.000, 0.500, 0.000) and Co at (0.000, 0.500, 0.232).

The calculation puts the total moment at 0.00 Bohr magnetons per cell. Its formation energy is -0.424 eV/atom. The uncorrected energy comes out at -0.1723 Ha/atom.


Entry 2:
DFT (PBE) results for an optimized crystal structure of Nd11Ga9Co4.

It has space group Cmmm (No. 65), with a = 14.101 Å, b = 21.075 Å, c = 3.725 Å, α = 90.00°, β = 90.00° and γ = 90.00°. The asymmetric unit holds Nd at (0.000, 0.000, 0.000), Nd at (0.000, 0.170, 0.000), Nd at (0.000, 0.376, 0.000), Nd at (0.188, 0.500, 0.000), Nd at (0.244, 0.171, 0.000), Ga at (0.000, 0.500, 0.500), Ga at (0.100, 0.271, 0.500), Ga at (0.154, 0.068, 0.500) and Co at (0.158, 0.397, 0.500).

The calculation puts the total moment at 0.00 Bohr magnetons per cell. Its formation energy is -0.435 eV/atom. The uncorrected energy comes out at -0.1815 Ha/atom.